# 1
This record from Alexandria describes an optimized crystal structure of NaPm2NdHg4. The functional is PBE-GGA.

```
data_NaPm2NdHg4
_chemical_formula_sum 'Na3 Pm6 Nd3 Hg12'
_cell_length_a 5.3203
_cell_length_b 5.3203
_cell_length_c 26.5137
_cell_angle_alpha 90.00
_cell_angle_beta 90.00
_cell_angle_gamma 120.00
_space_group_name_H-M_alt 'R -3 m'
_space_group_IT_number 166
_space_group_name_Hall '-R 3 2"'
loop_
_atom_site_label
_atom_site_fract_x
_atom_site_fract_y
_atom_site_fract_z
Na1 0.0000 0.0000 0.0000
Pm1 0.0000 0.0000 0.2546
Nd1 0.0000 0.0000 0.5000
Hg1 0.0000 0.0000 0.1243
Hg2 0.0000 0.0000 0.3749
```

Summary:
Crystal system: trigonal
Electronic total energy in eV per atom: -2.52
Volume in Å³/cell: 649.9
ΔE_f in meV/atom: -420


# 2
This record from Alexandria describes an optimized crystal structure of Tb6Pm3Dy2Th. The functional is PBE-GGA.

```
data_Tb6Pm3Dy2Th
_chemical_formula_sum 'Tb12 Pm6 Dy4 Th2'
_cell_length_a 6.2094
_cell_length_b 10.7438
_cell_length_c 11.8684
_cell_angle_alpha 90.00
_cell_angle_beta 100.04
_cell_angle_gamma 90.00
_space_group_name_H-M_alt 'C 1 2/m 1'
_space_group_IT_number 12
_space_group_name_Hall '-C 2y'
loop_
_atom_site_label
_atom_site_fract_x
_atom_site_fract_y
_atom_site_fract_z
Tb1 0.2471 0.0000 0.2531
Tb2 0.2478 0.1650 0.7468
Pm1 0.0000 0.1670 0.0000
Pm2 0.0000 0.5000 0.0000
Dy1 0.0000 0.3334 0.5000
Th1 0.0000 0.0000 0.5000
```

Summary:
Crystal system: monoclinic
Electronic total energy in eV per atom: -4.87
Volume in Å³/cell: 779.7
ΔE_f in meV/atom: 20


# 3
This record from Alexandria describes an optimized crystal structure of ZnCo2Re. The functional is PBE-GGA.

```
data_ZnCo2Re
_chemical_formula_sum 'Zn2 Co4 Re2'
_cell_length_a 8.3753
_cell_length_b 2.6072
_cell_length_c 4.6548
_cell_angle_alpha 90.00
_cell_angle_beta 97.87
_cell_angle_gamma 90.00
_space_group_name_H-M_alt 'C 1 2/m 1'
_space_group_IT_number 12
_space_group_name_Hall '-C 2y'
loop_
_atom_site_label
_atom_site_fract_x
_atom_site_fract_y
_atom_site_fract_z
Zn1 0.0000 0.0000 0.0000
Co1 0.2494 0.0000 0.7354
Re1 0.0000 0.5000 0.5000
```

Summary:
Crystal system: monoclinic
Electronic total energy in eV per atom: -6.82
Volume in Å³/cell: 100.7
ΔE_f in meV/atom: 161


# 4
This record from Alexandria describes an optimized crystal structure of Al4HgBr. The functional is PBE-GGA.

```
data_Al4HgBr
_chemical_formula_sum 'Al16 Hg4 Br4'
_cell_length_a 8.0401
_cell_length_b 8.0401
_cell_length_c 8.0401
_cell_angle_alpha 90.00
_cell_angle_beta 90.00
_cell_angle_gamma 90.00
_space_group_name_H-M_alt 'F -4 3 m'
_space_group_IT_number 216
_space_group_name_Hall 'F -4 2 3'
loop_
_atom_site_label
_atom_site_fract_x
_atom_site_fract_y
_atom_site_fract_z
Al1 0.1240 0.1240 0.3760
Hg1 0.2500 0.2500 0.7500
Br1 0.0000 0.0000 0.0000
```

Summary:
Crystal system: cubic
Formation energy without anion corrections in eV per formula unit: 1.36
Electronic total energy in eV per atom: -2.60
Volume in Å³/cell: 519.7


# 5
This record from Alexandria describes an optimized crystal structure of Er2TmAg3. The functional is PBE-GGA.

```
data_Er2TmAg3
_chemical_formula_sum 'Er4 Tm2 Ag6'
_cell_length_a 5.0871
_cell_length_b 5.0871
_cell_length_c 12.4892
_cell_angle_alpha 90.00
_cell_angle_beta 90.00
_cell_angle_gamma 120.00
_space_group_name_H-M_alt 'P -3 m 1'
_space_group_IT_number 164
_space_group_name_Hall '-P 3 2"'
loop_
_atom_site_label
_atom_site_fract_x
_atom_site_fract_y
_atom_site_fract_z
Er1 0.0000 0.0000 0.0000
Er2 0.0000 0.0000 0.5000
Er3 0.3333 0.6667 0.1672
Tm1 0.3333 0.6667 0.6666
Ag1 0.0000 0.0000 0.2505
Ag2 0.3333 0.6667 0.4169
Ag3 0.3333 0.6667 0.9163
```

Summary:
Crystal system: trigonal
Electronic total energy in eV per atom: -4.03
Volume in Å³/cell: 279.9
ΔE_f in meV/atom: -338


# 6
This record from Alexandria describes an optimized crystal structure of Be2VRh2. The functional is PBE-GGA.

```
data_Be2VRh2
_chemical_formula_sum 'Be4 V2 Rh4'
_cell_length_a 6.5684
_cell_length_b 6.5684
_cell_length_c 2.7674
_cell_angle_alpha 90.00
_cell_angle_beta 90.00
_cell_angle_gamma 90.00
_space_group_name_H-M_alt 'P 4/m b m'
_space_group_IT_number 127
_space_group_name_Hall '-P 4 2ab'
loop_
_atom_site_label
_atom_site_fract_x
_atom_site_fract_y
_atom_site_fract_z
Be1 0.1456 0.3544 0.0000
V1 0.0000 0.0000 0.5000
Rh1 0.1506 0.6506 0.5000
```

Summary:
Energy above the lowest structure with this stoichiometry in eV per atom: 0.164
Crystal system: tetragonal
Electronic total energy in eV per atom: -6.57
Volume in Å³/cell: 119.4
ΔE_f in meV/atom: -319


# 7
This record from Alexandria describes an optimized crystal structure of SrLaCuHg. The functional is PBE-GGA.

```
data_SrLaCuHg
_chemical_formula_sum 'Sr4 La4 Cu4 Hg4'
_cell_length_a 7.6856
_cell_length_b 7.6856
_cell_length_c 7.6856
_cell_angle_alpha 90.00
_cell_angle_beta 90.00
_cell_angle_gamma 90.00
_space_group_name_H-M_alt 'F -4 3 m'
_space_group_IT_number 216
_space_group_name_Hall 'F -4 2 3'
loop_
_atom_site_label
_atom_site_fract_x
_atom_site_fract_y
_atom_site_fract_z
Sr1 0.0000 0.0000 0.0000
La1 0.0000 0.0000 0.5000
Cu1 0.2500 0.2500 0.7500
Hg1 0.2500 0.2500 0.2500
```

Summary:
Crystal system: cubic
Electronic total energy in eV per atom: -3.00
Volume in Å³/cell: 454.0
ΔE_f in meV/atom: -246


# 8
This record from Alexandria describes an optimized crystal structure of Be2CrSi. The functional is PBE-GGA.

```
data_Be2CrSi
_chemical_formula_sum 'Be6 Cr3 Si3'
_cell_length_a 2.5361
_cell_length_b 2.5361
_cell_length_c 23.3382
_cell_angle_alpha 90.00
_cell_angle_beta 90.00
_cell_angle_gamma 120.00
_space_group_name_H-M_alt 'R -3 m'
_space_group_IT_number 166
_space_group_name_Hall '-R 3 2"'
loop_
_atom_site_label
_atom_site_fract_x
_atom_site_fract_y
_atom_site_fract_z
Be1 0.0000 0.0000 0.2472
Cr1 0.0000 0.0000 0.5000
Si1 0.0000 0.0000 0.0000
```

Summary:
Crystal system: trigonal
Formation energy without anion corrections in eV per formula unit: 1.31
Electronic total energy in eV per atom: -5.30
Volume in Å³/cell: 130.0


# 9
This record from Alexandria describes an optimized crystal structure of Sm2EuBi. The functional is PBE-GGA.

```
data_Sm2EuBi
_chemical_formula_sum 'Sm2 Eu1 Bi1'
_cell_length_a 4.2455
_cell_length_b 4.2455
_cell_length_c 7.2566
_cell_angle_alpha 90.00
_cell_angle_beta 90.00
_cell_angle_gamma 90.00
_space_group_name_H-M_alt 'P 4/m m m'
_space_group_IT_number 123
_space_group_name_Hall '-P 4 2'
loop_
_atom_site_label
_atom_site_fract_x
_atom_site_fract_y
_atom_site_fract_z
Sm1 0.0000 0.0000 0.2274
Eu1 0.5000 0.5000 0.5000
Bi1 0.5000 0.5000 0.0000
```

Summary:
Energy above the lowest structure with this stoichiometry in eV per atom: 0.042
Crystal system: tetragonal
Electronic total energy in eV per atom: -6.24
Volume in Å³/cell: 130.8
ΔE_f in meV/atom: -345


# 10
This record from Alexandria describes an optimized crystal structure of ZrCr2As. The functional is PBE-GGA.

```
data_ZrCr2As
_chemical_formula_sum 'Zr1 Cr2 As1'
_cell_length_a 3.2557
_cell_length_b 4.0980
_cell_length_c 4.8995
_cell_angle_alpha 90.00
_cell_angle_beta 103.64
_cell_angle_gamma 90.00
_space_group_name_H-M_alt 'P 1 m 1'
_space_group_IT_number 6
_space_group_name_Hall 'P -2y'
loop_
_atom_site_label
_atom_site_fract_x
_atom_site_fract_y
_atom_site_fract_z
Zr1 0.0000 0.0000 0.0000
Cr1 0.2685 0.5000 0.6177
Cr2 0.5775 0.0000 0.4954
As1 0.5764 0.5000 0.1891
```

Summary:
Crystal system: monoclinic
Electronic total energy in eV per atom: -8.20
Volume in Å³/cell: 63.5
ΔE_f in meV/atom: -86


# 11
This record from Alexandria describes an optimized crystal structure of K3LaOs. The functional is PBE-GGA.

```
data_K3LaOs
_chemical_formula_sum 'K3 La1 Os1'
_cell_length_a 6.8113
_cell_length_b 6.8113
_cell_length_c 6.8113
_cell_angle_alpha 90.00
_cell_angle_beta 90.00
_cell_angle_gamma 90.00
_space_group_name_H-M_alt 'P m -3 m'
_space_group_IT_number 221
_space_group_name_Hall '-P 4 2 3'
loop_
_atom_site_label
_atom_site_fract_x
_atom_site_fract_y
_atom_site_fract_z
K1 0.0000 0.0000 0.5000
La1 0.0000 0.0000 0.0000
Os1 0.5000 0.5000 0.5000
```

Summary:
Energy above the lowest structure with this stoichiometry in eV per atom: 0.439
Crystal system: cubic
Electronic total energy in eV per atom: -1.71
Volume in Å³/cell: 316.0
ΔE_f in meV/atom: 2179


# 12
This record from Alexandria describes an optimized crystal structure of Ac2ErMg9. The functional is PBE-GGA.

```
data_Ac2ErMg9
_chemical_formula_sum 'Ac6 Er3 Mg27'
_cell_length_a 6.1999
_cell_length_b 6.1999
_cell_length_c 30.0070
_cell_angle_alpha 90.00
_cell_angle_beta 90.00
_cell_angle_gamma 120.00
_space_group_name_H-M_alt 'R -3 m'
_space_group_IT_number 166
_space_group_name_Hall '-R 3 2"'
loop_
_atom_site_label
_atom_site_fract_x
_atom_site_fract_y
_atom_site_fract_z
Ac1 0.0000 0.0000 0.1408
Er1 0.0000 0.0000 0.0000
Mg1 0.0000 0.0000 0.3338
Mg2 0.0000 0.0000 0.5000
Mg3 0.0019 0.5010 0.9197
```

Summary:
Crystal system: trigonal
Electronic total energy in eV per atom: -2.29
Volume in Å³/cell: 998.9
ΔE_f in meV/atom: -30


# 13
This record from Alexandria describes an optimized crystal structure of TlSnPC2. The functional is PBE-GGA.

```
data_TlSnPC2
_chemical_formula_sum 'Tl1 Sn1 P1 C2'
_cell_length_a 4.1618
_cell_length_b 4.1618
_cell_length_c 7.1743
_cell_angle_alpha 90.00
_cell_angle_beta 90.00
_cell_angle_gamma 90.00
_space_group_name_H-M_alt 'P 4/m m m'
_space_group_IT_number 123
_space_group_name_Hall '-P 4 2'
loop_
_atom_site_label
_atom_site_fract_x
_atom_site_fract_y
_atom_site_fract_z
Tl1 0.0000 0.0000 0.0000
Sn1 0.0000 0.0000 0.5000
P1 0.5000 0.5000 0.0000
C1 0.0000 0.5000 0.5000
```

Summary:
Crystal system: tetragonal
Electronic total energy in eV per atom: -3.71
Volume in Å³/cell: 124.3
ΔE_f in meV/atom: 2340


| no. | theoretical density (Mg/m³) |
| --- | --- |
| 1 | 9.7 |
| 2 | 8.3 |
| 3 | 12.2 |
| 4 | 5.0 |
| 5 | 9.8 |
| 6 | 7.6 |
| 7 | 7.2 |
| 8 | 3.8 |
| 9 | 8.4 |
| 10 | 7.1 |
| 11 | 2.3 |
| 12 | 4.2 |
| 13 | 5.1 |